Entry 1:
# PBE-GGA Pr4DyCd, optimized geometry
data_Pr4DyCd
_chemical_formula_sum 'Pr4 Dy1 Cd1'
_symmetry_space_group_name_H-M 'P 4/m m m'
_symmetry_Int_Tables_number 123
_symmetry_space_group_name_Hall '-P 4 2'
_cell_length_a 3.719
_cell_length_b 3.719
_cell_length_c 14.375
_cell_angle_alpha 90.00
_cell_angle_beta 90.00
_cell_angle_gamma 90.00
loop_
_atom_site_label
_atom_site_type_symbol
_atom_site_fract_x
_atom_site_fract_y
_atom_site_fract_z
Pr1 Pr 0.000 0.000 0.147
Pr2 Pr 0.500 0.500 0.326
Dy1 Dy 0.000 0.000 0.500
Cd1 Cd 0.500 0.500 0.000
# Formation enthalpy at 0 K in meV/atom: -94
# Total moment in μB/f.u.: 0.00

***

Entry 2:
# PBE-GGA Li4H2O, optimized geometry
data_Li4H2O
_chemical_formula_sum 'Li16 H8 O4'
_symmetry_space_group_name_H-M 'P b c a'
_symmetry_Int_Tables_number 61
_cell_length_a 4.938
_cell_length_b 5.075
_cell_length_c 10.410
_cell_angle_alpha 90.00
_cell_angle_beta 90.00
_cell_angle_gamma 90.00
loop_
_symmetry_equiv_pos_as_xyz
'x,y,z'
'-x,-y,-z'
'-x+1/2,-y,z+1/2'
'x+1/2,y,-z+1/2'
'x+1/2,-y+1/2,-z'
'-x+1/2,y+1/2,z'
'-x,y+1/2,-z+1/2'
'x,-y+1/2,z+1/2'
loop_
_atom_site_label
_atom_site_type_symbol
_atom_site_fract_x
_atom_site_fract_y
_atom_site_fract_z
Li1 Li 0.144 0.086 0.165
Li2 Li 0.201 0.207 0.437
H1 H 0.009 0.547 0.824
O1 O 0.000 0.000 0.000
# Total moment in μB/f.u.: 0.00
# Uncorrected energy in eV per atom: -3.7314

***

Entry 3:
# PBE-GGA Pm2Nd2Pt3, optimized geometry
data_Pm2Nd2Pt3
_chemical_formula_sum 'Pm8 Nd8 Pt12'
_symmetry_space_group_name_H-M 'I 21 3'
_symmetry_Int_Tables_number 199
_symmetry_space_group_name_Hall 'I 2b 2c 3'
_cell_length_a 9.001
_cell_length_b 9.001
_cell_length_c 9.001
_cell_angle_alpha 90.00
_cell_angle_beta 90.00
_cell_angle_gamma 90.00
loop_
_atom_site_label
_atom_site_type_symbol
_atom_site_fract_x
_atom_site_fract_y
_atom_site_fract_z
Pm1 Pm 0.060 0.440 0.560
Nd1 Nd 0.189 0.189 0.189
Pt1 Pt 0.000 0.250 0.873
# Formation enthalpy at 0 K in meV/atom: -985
# Total moment in μB/f.u.: 0.00

***

Entry 4:
# PBE-GGA Sm6CoBi2, optimized geometry
data_Sm6CoBi2
_chemical_formula_sum 'Sm12 Co2 Bi4'
_symmetry_space_group_name_H-M 'P 1 21/c 1'
_symmetry_Int_Tables_number 14
_cell_length_a 6.513
_cell_length_b 8.187
_cell_length_c 12.073
_cell_angle_alpha 90.00
_cell_angle_beta 120.54
_cell_angle_gamma 90.00
loop_
_symmetry_equiv_pos_as_xyz
'x,y,z'
'-x,-y,-z'
'-x,y+1/2,-z+1/2'
'x,-y+1/2,z+1/2'
loop_
_atom_site_label
_atom_site_type_symbol
_atom_site_fract_x
_atom_site_fract_y
_atom_site_fract_z
Sm1 Sm 0.107 0.180 0.461
Sm2 Sm 0.319 0.687 0.462
Sm3 Sm 0.367 0.020 0.255
Co1 Co 0.500 0.000 0.500
Bi1 Bi 0.160 0.110 0.751
# Formation enthalpy at 0 K in meV/atom: -413
# Total moment in μB/f.u.: 0.00

***

Entry 5:
# PBE-GGA FeHgW2, optimized geometry
data_FeHgW2
_chemical_formula_sum 'Fe4 Hg4 W8'
_symmetry_space_group_name_H-M 'I -4 2 d'
_symmetry_Int_Tables_number 122
_symmetry_space_group_name_Hall 'I -4 2bw'
_cell_length_a 7.243
_cell_length_b 7.243
_cell_length_c 5.225
_cell_angle_alpha 90.00
_cell_angle_beta 90.00
_cell_angle_gamma 90.00
loop_
_atom_site_label
_atom_site_type_symbol
_atom_site_fract_x
_atom_site_fract_y
_atom_site_fract_z
Fe1 Fe 0.000 0.000 0.000
Hg1 Hg 0.000 0.000 0.500
W1 W 0.185 0.250 0.125
# Formation enthalpy at 0 K in meV/atom: 931
# Total moment in μB/f.u.: 0.00

***

Entry 6:
# PBE-GGA K2MgGe2, optimized geometry
data_K2MgGe2
_chemical_formula_sum 'K4 Mg2 Ge4'
_symmetry_space_group_name_H-M 'P 4/m b m'
_symmetry_Int_Tables_number 127
_symmetry_space_group_name_Hall '-P 4 2ab'
_cell_length_a 7.482
_cell_length_b 7.482
_cell_length_c 5.471
_cell_angle_alpha 90.00
_cell_angle_beta 90.00
_cell_angle_gamma 90.00
loop_
_atom_site_label
_atom_site_type_symbol
_atom_site_fract_x
_atom_site_fract_y
_atom_site_fract_z
K1 K 0.183 0.317 0.000
Mg1 Mg 0.000 0.000 0.500
Ge1 Ge 0.115 0.615 0.500
# Formation enthalpy at 0 K in meV/atom: 11
# Total moment in μB/f.u.: 0.00